[1]
Here is Y3Si3Ir2 after structural relaxation from the Alexandria database. Energies are from GGA-PBE. Values from VASP.

Values from the calculation:
As for the raw formation energy: -993 meV per atom. The value obtained for the density of states at the Fermi level is 0.444 states/eV/atom. For the energy above the most stable polymorph in this dataset, the calculation gives 9 meV/atom.

Structure (Quantum ESPRESSO input):
```
&SYSTEM
  ibrav = 0, nat = 32, ntyp = 3
/
ATOMIC_SPECIES
Y 88.91 Y.upf
Si 28.09 Si.upf
Ir 192.22 Ir.upf
CELL_PARAMETERS angstrom
-0.7456 5.5109 -1.2747
-7.7199 -1.3690 -1.4030
-2.9042 2.6951 13.3501
ATOMIC_POSITIONS angstrom
Y -7.4405 6.4761 9.9434
Y -6.6509 5.7432 6.3134
Y -3.9291 0.3609 0.7290
Y -7.9791 1.0810 -0.2974
Y -2.6009 5.0231 7.3398
Y -3.7775 2.4584 9.5765
Y -4.7188 1.0937 4.3590
Y -3.5499 3.7152 2.1092
Y -8.7688 1.8139 3.3326
Y -7.5922 4.3786 1.0959
Y -7.8198 3.1218 8.5632
Y -3.3906 5.7559 10.9698
Si -6.9710 3.8026 -1.6884
Si -2.9327 3.1691 -0.6820
Si -4.3987 3.0344 12.3608
Si -6.0984 2.0005 1.9010
Si -9.3608 5.8486 7.6775
Si -8.4370 3.6679 11.3544
Si -8.1848 4.9291 3.8916
Si -5.2713 4.8365 8.7714
Si -7.2231 2.5414 5.7744
Si -4.1466 4.2956 4.8980
Si -2.0089 0.9884 2.9949
Si -3.1849 1.9079 6.7808
Ir -5.2558 2.7996 -0.3858
Ir -1.6054 5.0329 -0.0426
Ir -6.1790 3.6563 3.8580
Ir -9.7643 1.8041 10.7150
Ir -2.5286 5.8896 4.2012
Ir -6.1139 4.0374 11.0582
Ir -8.8411 0.9473 6.4712
Ir -5.1907 3.1806 6.8144
```

=====

[2]
Here is Y3SiIr3 after structural relaxation from the Alexandria database. Energies are from GGA-PBE. Values from VASP.

Values from the calculation:
As for the raw formation energy: -881 meV per atom. The value obtained for the density of states at the Fermi level is 0.426 states/eV/atom.

Structure (Quantum ESPRESSO input):
```
&SYSTEM
  ibrav = 0, nat = 14, ntyp = 3
/
ATOMIC_SPECIES
Y 88.91 Y.upf
Ir 192.22 Ir.upf
Si 28.09 Si.upf
CELL_PARAMETERS angstrom
-3.2046 1.3500 1.9879
-4.3208 0.7114 -3.4131
-5.9195 -12.3892 2.9065
ATOMIC_POSITIONS angstrom
Y -10.1709 -8.1069 1.2155
Y -8.0058 -10.7380 2.4573
Y -5.4392 0.4102 -0.9760
Y -3.2740 -2.2209 0.2657
Y -6.6001 -3.5947 -0.1277
Y -6.8449 -6.7331 1.6090
Ir -9.4968 -10.6741 0.0103
Ir -8.1147 -1.0503 -0.2620
Ir -4.1606 -5.3482 0.9602
Ir -3.9481 0.3463 1.4710
Ir -5.3302 -9.2775 1.7433
Ir -9.2843 -4.9797 0.5211
Si -5.0526 -3.7124 2.4468
Si -8.3923 -6.6154 -0.9655
```

=====

[3]
Here is Y3Si8Ir3 after structural relaxation from the Alexandria database. Energies are from GGA-PBE. Values from VASP.

Values from the calculation:
As for the raw formation energy: -690 meV per atom. The value obtained for the density of states at the Fermi level is 0.375 states/eV/atom. For the energy above the most stable polymorph in this dataset, the calculation gives 0 meV/atom.

Structure (Quantum ESPRESSO input):
```
&SYSTEM
  ibrav = 0, nat = 14, ntyp = 3
/
ATOMIC_SPECIES
Ir 192.22 Ir.upf
Si 28.09 Si.upf
Y 88.91 Y.upf
CELL_PARAMETERS angstrom
-2.5106 -3.2563 0.8536
-0.3492 -0.3327 8.0341
-6.6708 3.4202 3.7571
ATOMIC_POSITIONS angstrom
Ir -1.0470 -1.1878 2.7197
Ir -3.5100 1.5437 5.8956
Ir -8.4837 1.0189 9.9251
Si -5.9777 0.6997 5.7476
Si -1.3610 -0.3449 5.0116
Si -3.0680 -0.6033 9.3353
Si -8.1697 0.1760 7.6331
Si -5.1359 -1.8075 8.9896
Si -4.3948 1.6386 3.6551
Si -3.5529 -0.8685 6.8971
Si -6.4626 0.4344 3.3095
Y 0.0000 0.0000 0.0000
Y -4.0505 -1.2846 3.8462
Y -5.4801 1.1157 8.7985
```

=====

[4]
Here is YSi3Ir after structural relaxation from the Alexandria database. Energies are from GGA-PBE. Values from VASP.

Values from the calculation:
As for the raw formation energy: 1918 meV per atom. The value obtained for the density of states at the Fermi level is 1.010 states/eV/atom.

Structure (Quantum ESPRESSO input):
```
&SYSTEM
  ibrav = 0, nat = 5, ntyp = 3
/
ATOMIC_SPECIES
Ir 192.22 Ir.upf
Y 88.91 Y.upf
Si 28.09 Si.upf
CELL_PARAMETERS angstrom
5.0413 0.0000 0.0000
0.0000 5.0413 0.0000
0.0000 0.0000 5.0413
ATOMIC_POSITIONS angstrom
Ir 2.5207 2.5207 2.5207
Y 0.0000 0.0000 0.0000
Si 2.5207 0.0000 0.0000
Si 0.0000 0.0000 2.5207
Si 0.0000 2.5207 0.0000
```

=====

[5]
Here is Y2SiIr after structural relaxation from the Alexandria database. Energies are from GGA-PBE. Values from VASP.

Values from the calculation:
As for the raw formation energy: -421 meV per atom. The value obtained for the density of states at the Fermi level is 0.518 states/eV/atom.

Structure (Quantum ESPRESSO input):
```
&SYSTEM
  ibrav = 0, nat = 4, ntyp = 3
/
ATOMIC_SPECIES
Y 88.91 Y.upf
Si 28.09 Si.upf
Ir 192.22 Ir.upf
CELL_PARAMETERS angstrom
-0.7253 -6.9703 2.8380
-1.4977 -7.3442 -0.9920
2.2211 -7.2226 0.2573
ATOMIC_POSITIONS angstrom
Y -0.0018 -21.4197 2.0918
Y -0.0009 -10.8858 1.0631
Si -0.0014 -16.1528 1.5774
Ir -0.0005 -5.3843 0.5258
```

=====

[6]
Here is YSiIr4 after structural relaxation from the Alexandria database. Energies are from GGA-PBE. Values from VASP.

Values from the calculation:
As for the raw formation energy: -178 meV per atom. The value obtained for the density of states at the Fermi level is 1.285 states/eV/atom.

Structure (Quantum ESPRESSO input):
```
&SYSTEM
  ibrav = 0, nat = 6, ntyp = 3
/
ATOMIC_SPECIES
Ir 192.22 Ir.upf
Y 88.91 Y.upf
Si 28.09 Si.upf
CELL_PARAMETERS angstrom
5.1088 -1.2682 0.3385
2.3200 -0.3628 4.7232
1.4276 -4.7163 1.8818
ATOMIC_POSITIONS angstrom
Ir 3.3271 -2.3845 2.6085
Ir 4.4808 -2.5649 4.9575
Ir 5.8678 -3.0152 2.7769
Ir 4.0370 -4.7300 3.5444
Y 0.0000 0.0000 0.0000
Si 6.6423 -4.7605 5.2077
```

=====

[7]
Here is YSi2Ir3 after structural relaxation from the Alexandria database. Energies are from GGA-PBE. Values from VASP.

Values from the calculation:
As for the raw formation energy: -915 meV per atom. The value obtained for the density of states at the Fermi level is 0.446 states/eV/atom.

Structure (Quantum ESPRESSO input):
```
&SYSTEM
  ibrav = 0, nat = 18, ntyp = 3
/
ATOMIC_SPECIES
Si 28.09 Si.upf
Ir 192.22 Ir.upf
Y 88.91 Y.upf
CELL_PARAMETERS angstrom
3.9841 0.0000 0.0000
-1.9920 7.5558 -2.5077
0.0000 0.0153 9.7700
ATOMIC_POSITIONS angstrom
Si 0.0000 7.0174 -0.1722
Si 1.9920 0.5537 7.4345
Si 0.0000 2.9806 0.2820
Si 0.0000 5.4877 3.5740
Si 1.9920 2.0833 3.6883
Si 1.9920 4.5905 6.9803
Ir 0.0000 4.8860 -1.2016
Ir 1.9920 2.6851 8.4639
Ir 0.0000 3.3269 2.7312
Ir 1.9920 6.9598 4.2507
Ir 1.9920 4.2442 4.5311
Ir 1.9920 0.0076 4.8850
Ir 0.0000 5.7118 5.9346
Ir 0.0000 0.6113 3.0116
Ir 1.9920 1.8593 1.3277
Y 0.0000 2.4002 6.0352
Y 1.9920 5.1709 1.2271
Y 0.0000 0.0000 0.0000
```

=====

[8]
Here is YSi2Ir5 after structural relaxation from the Alexandria database. Energies are from GGA-PBE. Values from VASP.

Values from the calculation:
As for the raw formation energy: -682 meV per atom. The value obtained for the density of states at the Fermi level is 0.806 states/eV/atom.

Structure (Quantum ESPRESSO input):
```
&SYSTEM
  ibrav = 0, nat = 8, ntyp = 3
/
ATOMIC_SPECIES
Ir 192.22 Ir.upf
Si 28.09 Si.upf
Y 88.91 Y.upf
CELL_PARAMETERS angstrom
-3.3999 -1.0681 1.5205
0.2718 -6.0901 1.2664
0.8668 -1.1689 6.0538
ATOMIC_POSITIONS angstrom
Ir 0.5693 -3.6295 3.6601
Ir -1.9012 -4.2643 2.6266
Ir -1.6621 -2.2868 4.5504
Ir -0.3602 -4.0627 6.2141
Ir -0.5993 -6.0402 4.2903
Si -0.5451 -2.1094 2.2361
Si -1.7162 -6.2176 6.6047
Y 0.0000 0.0000 0.0000
```